# SmYNi10

Crystalline SmYNi10 at its relaxed geometry (PBE-GGA, the Alexandria database).

Unit cell a=3.958 b=4.913 c=8.501 alpha=90.00 beta=90.00 gamma=90.00
Atoms (fractional coordinates):
Ni 0.500 0.500 0.000
Ni 0.000 0.000 0.335
Ni 0.500 0.251 0.252
Ni 0.000 0.000 0.665
Ni 0.500 0.251 0.748
Ni 0.500 0.749 0.748
Ni 0.000 0.500 0.832
Ni 0.500 0.749 0.252
Ni 0.000 0.500 0.168
Ni 0.500 0.000 0.500
Y 0.000 0.500 0.500
Sm 0.000 0.000 0.000

Values from the calculation:
DOS(E_F) = 13.7 states/eV/f.u.
uncorrected energy = -0.2226 hartree per atom
theoretical density = 8.30 g/cm³
ΔE_f = -0.308 eV/atom